This record from the Alexandria database describes a relaxed Na2LaRu2 crystal. The functional is GGA-PBE.

a = 4.7678 Å, b = 4.7678 Å, c = 9.4081 Å
α = 90.00°, β = 90.00°, γ = 90.00°
Space group I4/mmm (No. 139)
One atom of each set of equivalent atoms:
1 Na 0.0000 0.0000 0.1226 (multiplicity 4)
2 La 0.0000 0.0000 0.5000 (multiplicity 2)
3 Ru 0.0000 0.5000 0.2500 (multiplicity 4)

Values from the calculation:
Energy above the lowest structure with this stoichiometry = 134 meV per atom
DFT total energy = -4.315 eV/atom
Energy of formation from the pure elements = 0.91 eV per atom